Li3In4F12: optimized geometry, GGA-PBE.

```
Li3In4F12
1.0
6.055 3.496 2.085
-6.055 3.496 2.085
0.000 -6.992 2.085
Li In F
3 4 12
Direct
0.000 0.500 0.500
0.500 0.000 0.500
0.500 0.500 0.000
0.000 0.000 0.500
0.000 0.500 0.000
0.500 0.000 0.000
0.500 0.500 0.500
0.120 0.702 0.854
0.146 0.880 0.298
0.208 0.378 0.645
0.298 0.146 0.880
0.355 0.792 0.622
0.378 0.645 0.208
0.622 0.355 0.792
0.645 0.208 0.378
0.702 0.854 0.120
0.792 0.622 0.355
0.854 0.120 0.702
0.880 0.298 0.146
```

---

LiIn2F7: optimized geometry, GGA-PBE.

```
LiIn2F7
1.0
1.921 1.109 9.890
-1.921 1.109 9.890
0.000 -2.218 9.890
Li In F
1 2 7
Direct
0.000 0.000 0.000
0.429 0.429 0.429
0.571 0.571 0.571
0.077 0.077 0.077
0.220 0.220 0.220
0.360 0.360 0.360
0.500 0.500 0.500
0.640 0.640 0.640
0.780 0.780 0.780
0.923 0.923 0.923
```

---

LiInF3: optimized geometry, GGA-PBE.

Excess energy over the best structure of this formula in the dataset: 0 meV/atom

```
LiInF3
1.0
5.242 0.000 0.000
-2.359 4.929 0.000
-0.024 -0.386 6.466
Li In F
2 2 6
Direct
0.008 0.254 0.002
0.992 0.746 0.998
0.492 0.213 0.616
0.508 0.787 0.384
0.180 0.060 0.848
0.229 0.606 0.128
0.237 0.414 0.541
0.763 0.586 0.459
0.771 0.394 0.872
0.820 0.940 0.152
```

---

LiIn3F: optimized geometry, GGA-PBE.

Excess energy over the best structure of this formula in the dataset: 0 meV/atom

```
LiIn3F
1.0
5.048 0.000 0.000
0.000 5.048 0.000
0.000 0.000 5.048
Li In F
1 3 1
Direct
0.000 0.000 0.000
0.000 0.500 0.500
0.500 0.000 0.500
0.500 0.500 0.000
0.500 0.500 0.500
```

---

Results for energy: -4.513, -4.555, -4.576, -2.912 (in eV/atom, following the order of the records).
Results for uncorrected formation energy: -2.45, -2.51, -2.52, -0.51 (in eV per atom, following the order of the records).
Results for Fermi-level density of states: 3.5, 0.0, 0.0, 2.0 (in states/eV/f.u., following the order of the records).